Entry 1:
VASP calculation (GGA-PBE) on an optimized crystal structure of RbErNp.

Properties
**Mass density**: 5.54 Mg/m³
**E**: -4.391 eV per atom
**SG**: F-43m (216)

```
3
Lattice="0.000 4.187 4.187 4.187 0.000 4.187 4.187 4.187 0.000" Properties=species:S:1:pos:R:3 pbc="T T T"
Np 2.093 2.093 2.093
Er 0.000 0.000 0.000
Rb 6.280 6.280 6.280
```

Entry 2:
VASP calculation (GGA-PBE) on an optimized crystal structure of ErNpRe.

Properties
**Mass density**: 14.69 Mg/m³
**Energy of formation from the pure elements**: 1.307 eV per atom
**E**: -8.612 eV per atom
**SG**: F-43m (216)

```
3
Lattice="0.000 3.220 3.220 3.220 0.000 3.220 3.220 3.220 0.000" Properties=species:S:1:pos:R:3 pbc="T T T"
Re 4.829 4.829 4.829
Np 0.000 0.000 0.000
Er 1.610 1.610 1.610
```

Entry 3:
VASP calculation (GGA-PBE) on an optimized crystal structure of ErNpS3.

Properties
**Mass density**: 7.40 Mg/m³
**E**: -7.671 eV per atom
**SG**: C222_1 (20)

```
10
Lattice="-5.100 -3.890 1.406 4.971 1.215 -4.116 5.602 -5.485 5.146" Properties=species:S:1:pos:R:3 pbc="T T T"
S 8.227 -3.378 0.261
Np 1.631 -6.721 3.878
S -2.755 -4.783 2.174
Er -0.130 -2.673 -2.708
S 4.577 -3.717 0.768
Er 2.801 -2.745 2.570
Np 3.841 -1.439 -1.442
S -1.141 -2.450 -0.203
S 6.613 -5.707 2.642
S 0.895 -4.447 1.665
```

Entry 4:
VASP calculation (GGA-PBE) on an optimized crystal structure of ErNpTc.

Properties
**Mass density**: 12.61 Mg/m³
**Energy of formation from the pure elements**: 1.057 eV per atom
**E**: -8.174 eV per atom
**SG**: F-43m (216)

```
3
Lattice="0.000 3.210 3.210 3.210 0.000 3.210 3.210 3.210 0.000" Properties=species:S:1:pos:R:3 pbc="T T T"
Er 1.605 1.605 1.605
Np 0.000 0.000 0.000
Tc 4.814 4.814 4.814
```

Entry 5:
VASP calculation (GGA-PBE) on an optimized crystal structure of ErNpTe6.

Properties
**Mass density**: 7.90 Mg/m³
**E**: -5.249 eV per atom
**SG**: Amm2 (38)

```
8
Lattice="-3.269 -2.057 2.007 -1.175 10.065 8.401 -3.917 11.395 5.298" Properties=species:S:1:pos:R:3 pbc="T T T"
Te -2.684 3.394 3.827
Te -4.045 17.050 10.883
Np -3.317 6.062 5.529
Te -6.337 18.792 13.655
Er -3.408 14.364 9.169
Te -4.568 11.337 8.896
Te -0.389 1.639 1.046
Te -2.157 9.090 5.802
```

Entry 6:
VASP calculation (GGA-PBE) on an optimized crystal structure of ErNpTe.

Properties
**Mass density**: 9.65 Mg/m³
**ΔE to the lowest computed polymorph**: 0 meV/atom
**E**: -6.849 eV per atom
**SG**: F-43m (216)

```
3
Lattice="-1.454 -1.402 4.638 -4.374 -2.459 0.644 0.015 -4.893 1.285" Properties=species:S:1:pos:R:3 pbc="T T T"
Te 0.000 0.000 0.000
Np -4.360 -6.565 4.926
Er -1.453 -2.188 1.642
```

Entry 7:
VASP calculation (GGA-PBE) on an optimized crystal structure of ErTmNp.

Properties
**Mass density**: 9.25 Mg/m³
**Energy of formation from the pure elements**: 1.150 eV per atom
**ΔE to the lowest computed polymorph**: 0 meV/atom
**E**: -6.119 eV per atom
**SG**: F-43m (216)

```
3
Lattice="0.000 3.719 3.719 3.719 0.000 3.719 3.719 3.719 0.000" Properties=species:S:1:pos:R:3 pbc="T T T"
Np 5.579 5.579 5.579
Er 1.860 1.860 1.860
Tm 0.000 0.000 0.000
```

Entry 8:
VASP calculation (GGA-PBE) on an optimized crystal structure of ErO.

Properties
**Mass density**: 8.66 Mg/m³
**E**: -7.497 eV per atom
**SG**: F-43m (216)

```
2
Lattice="1.907 -3.144 -0.006 -1.064 -2.792 -2.143 2.005 -0.929 -2.939" Properties=species:S:1:pos:R:3 pbc="T T T"
Er 0.000 0.000 0.000
O 0.712 -1.716 -1.272
```

Entry 9:
VASP calculation (GGA-PBE) on an optimized crystal structure of Er2O3.

Properties
**Mass density**: 8.83 Mg/m³
**E**: -7.924 eV per atom
**SG**: Pn-3m (224)

```
10
Lattice="5.240 0.000 0.000 0.000 5.240 0.000 0.000 0.000 5.240" Properties=species:S:1:pos:R:3 pbc="T T T"
O 2.620 0.000 0.000
O 0.000 2.620 2.620
Er 1.310 1.310 3.930
O 0.000 0.000 2.620
O 0.000 2.620 0.000
Er 3.930 3.930 3.930
O 2.620 0.000 2.620
O 2.620 2.620 0.000
Er 1.310 3.930 1.310
Er 3.930 1.310 1.310
```

Entry 10:
VASP calculation (GGA-PBE) on an optimized crystal structure of Er5O.

Properties
**Mass density**: 7.35 Mg/m³
**E**: -3.768 eV per atom
**SG**: P6/mmm (191)

```
6
Lattice="6.130 0.000 0.000 -3.065 5.308 0.000 0.000 0.000 5.915" Properties=species:S:1:pos:R:3 pbc="T T T"
Er 3.065 1.769 0.000
Er -1.532 2.654 2.958
O 0.000 0.000 0.000
Er 1.532 2.654 2.958
Er 0.000 3.539 0.000
Er 3.065 0.000 2.958
```

Entry 11:
VASP calculation (GGA-PBE) on an optimized crystal structure of Er2O3.

Properties
**Mass density**: 9.73 Mg/m³
**E**: -8.244 eV per atom
**SG**: Fdd2 (43)

```
10
Lattice="3.595 -0.823 -6.248 0.912 -5.596 0.804 1.290 -6.063 -6.426" Properties=species:S:1:pos:R:3 pbc="T T T"
O 3.792 -8.946 -6.546
Er 4.283 -4.924 -6.586
O 3.720 -6.272 -8.250
O 1.839 -6.123 -6.258
Er 1.635 -7.058 -1.603
O 1.998 -3.181 -2.800
O 2.290 -6.233 -3.555
Er 4.434 -5.454 -10.184
Er 3.395 -7.767 -4.710
O 5.117 -9.801 -11.194
```

Entry 12:
VASP calculation (GGA-PBE) on an optimized crystal structure of ErO.

Properties
**Mass density**: 11.08 Mg/m³
**E**: -7.295 eV per atom
**SG**: P-6m2 (187)

```
2
Lattice="3.196 0.000 0.000 -1.598 2.767 0.000 0.000 0.000 3.105" Properties=species:S:1:pos:R:3 pbc="T T T"
Er 1.598 0.922 2.328
O 0.000 1.845 0.776
```

Entry 13:
VASP calculation (GGA-PBE) on an optimized crystal structure of Er2O3.

Properties
**Mass density**: 7.16 Mg/m³
**E**: -8.227 eV per atom
**SG**: P-62m (189)

```
5
Lattice="-2.396 -5.316 0.404 4.391 1.504 3.553 -1.975 1.042 2.000" Properties=species:S:1:pos:R:3 pbc="T T T"
O -1.180 -2.618 0.199
O 1.012 -1.934 2.008
Er 1.141 -0.248 3.502
Er -1.122 -2.521 2.454
O 2.163 0.741 1.750
```

Entry 14:
VASP calculation (GGA-PBE) on an optimized crystal structure of Er2O3.

Properties
**Mass density**: 8.87 Mg/m³
**E**: -8.436 eV per atom
**SG**: Ia-3 (206)

```
40
Lattice="5.233 5.233 5.233 -5.233 5.233 -5.233 -5.233 -5.233 5.233" Properties=species:S:1:pos:R:3 pbc="T T T"
O 1.592 3.974 4.098
O -1.592 1.259 4.098
Er -2.616 0.344 0.000
O -3.974 6.368 -1.592
O 3.641 3.974 6.368
O -3.974 4.098 -3.641
Er -5.577 0.000 2.616
O -3.641 1.259 6.368
Er -5.233 -2.616 4.889
O -8.874 1.259 -1.135
Er 0.000 7.849 0.344
O -1.135 1.592 1.259
Er -0.344 0.000 2.616
O -3.974 1.135 1.592
Er -2.616 5.577 0.000
O -6.368 3.641 -1.259
O -4.098 1.592 -1.259
Er -2.616 -0.344 5.233
O 1.135 1.592 6.492
O -1.259 6.368 1.592
O -1.259 1.135 8.874
O -1.592 3.974 -1.135
Er 0.000 2.616 4.889
O -1.135 3.641 6.492
Er -2.616 2.616 -2.616
O -1.259 4.098 3.641
O -3.641 3.974 1.135
O -6.825 1.259 1.135
Er -4.889 5.233 2.616
Er 0.344 5.233 2.616
O -3.974 -1.135 3.641
Er -2.616 2.616 2.616
O -1.259 -1.135 6.825
O 1.135 3.641 1.259
Er -2.616 -2.616 2.616
Er -2.616 4.889 5.233
Er -5.233 2.616 0.344
Er 2.616 2.616 2.616
O -4.098 3.641 3.974
O -6.368 1.592 3.974
```

Entry 15:
VASP calculation (GGA-PBE) on an optimized crystal structure of Er2O3.

Properties
**Mass density**: 8.48 Mg/m³
**E**: -8.192 eV per atom
**SG**: R-3m (166)

```
5
Lattice="1.728 0.998 7.239 -1.728 0.998 7.239 0.000 -1.996 7.239" Properties=species:S:1:pos:R:3 pbc="T T T"
Er 0.000 0.000 8.736
O 0.000 0.000 16.711
Er 0.000 0.000 12.981
O 0.000 0.000 0.000
O 0.000 0.000 5.006
```

Entry 16:
VASP calculation (GGA-PBE) on an optimized crystal structure of Er6OsO12.

Properties
**Mass density**: 9.27 Mg/m³
**E**: -8.255 eV per atom
**SG**: R-3 (148)

```
19
Lattice="0.971 1.344 6.149 5.990 0.591 -2.080 -2.244 5.654 -1.886" Properties=species:S:1:pos:R:3 pbc="T T T"
O -0.453 5.222 4.283
Er 3.089 2.338 -0.982
O 2.561 1.903 5.155
O -1.413 5.895 -0.131
O 0.668 3.340 2.445
O 1.162 5.656 1.090
O 3.283 3.759 3.102
Er 2.557 5.770 -0.645
O 3.556 1.933 1.093
Er -0.203 3.962 0.490
Er 1.629 5.252 3.165
O 6.131 1.695 2.314
O 2.157 5.686 -2.973
Os 0.000 0.000 0.000
O 5.171 2.368 -2.101
Er 4.921 3.628 1.693
O 4.050 4.250 -0.262
Er 2.161 1.820 2.827
O 1.435 3.831 -0.920
```

Entry 17:
VASP calculation (GGA-PBE) on an optimized crystal structure of ErPOsO.

Properties
**Mass density**: 11.30 Mg/m³
**ΔE to the lowest computed polymorph**: 600 meV/atom
**E**: -7.825 eV per atom
**SG**: Pmc2_1 (26)

```
8
Lattice="-3.436 -2.090 -1.818 -0.436 -2.378 3.558 -3.878 4.294 2.395" Properties=species:S:1:pos:R:3 pbc="T T T"
P -3.126 2.996 2.465
Er -4.359 -0.416 3.360
Os -3.924 2.453 4.599
Er -2.157 -1.125 0.012
P -1.481 -0.756 3.668
Os -1.845 1.074 2.252
O -3.554 0.084 1.264
O -5.653 1.356 3.770
```

Entry 18:
VASP calculation (GGA-PBE) on an optimized crystal structure of ErPOsO.

Properties
**Mass density**: 11.32 Mg/m³
**ΔE to the lowest computed polymorph**: 1935 meV/atom
**E**: -6.489 eV per atom
**SG**: P4/nmm (129)

```
8
Lattice="-4.266 0.550 -0.199 -0.437 -2.020 3.777 0.578 5.596 3.060" Properties=species:S:1:pos:R:3 pbc="T T T"
P -0.089 0.247 2.576
Er -2.062 2.063 3.319
Er 0.289 2.798 1.530
Os -2.053 1.049 0.324
Os 0.280 3.812 4.525
O -2.351 -0.735 1.789
O 0.000 0.000 0.000
P -1.685 4.614 2.273
```

Entry 19:
VASP calculation (GGA-PBE) on an optimized crystal structure of ErPOsO.

Properties
**Mass density**: 10.86 Mg/m³
**ΔE to the lowest computed polymorph**: 0 meV/atom
**E**: -8.425 eV per atom
**SG**: P4/nmm (129)

```
8
Lattice="2.814 -2.814 0.000 2.814 2.814 0.000 0.000 0.000 7.811" Properties=species:S:1:pos:R:3 pbc="T T T"
O 1.407 -1.407 0.000
Er 0.000 0.000 1.033
Er 2.814 0.000 6.778
P 0.000 0.000 5.147
P 2.814 0.000 2.665
O 1.407 1.407 0.000
Os 1.407 -1.407 3.906
Os 1.407 1.407 3.906
```

Entry 20:
VASP calculation (GGA-PBE) on an optimized crystal structure of ErPOsO.

Properties
**Mass density**: 10.45 Mg/m³
**ΔE to the lowest computed polymorph**: 741 meV/atom
**E**: -7.684 eV per atom
**SG**: Pmc2_1 (26)

```
8
Lattice="3.236 0.000 0.000 0.000 7.704 0.000 0.000 0.000 5.154" Properties=species:S:1:pos:R:3 pbc="T T T"
O 1.618 7.357 1.690
O 1.618 0.347 4.267
Os 1.618 6.070 5.040
Os 1.618 1.634 2.463
Er 0.000 1.615 5.027
P 0.000 4.490 5.016
Er 0.000 6.089 2.450
P 0.000 3.214 2.439
```